Pr2Si2S7 | PBE | relaxed

Unit cell a=7.1435 b=7.1435 c=5.9352 alpha=96.87 beta=96.87 gamma=101.74
Atoms (fractional coordinates):
Pr 0.2034 0.7966 0.0000
Pr 0.7966 0.2034 0.0000
Si 0.2754 0.2754 0.5818
Si 0.7246 0.7246 0.4182
S 0.0899 0.4116 0.7672
S 0.1117 0.1117 0.2747
S 0.4116 0.0899 0.7672
S 0.5000 0.5000 0.5000
S 0.5884 0.9101 0.2328
S 0.8883 0.8883 0.7253
S 0.9101 0.5884 0.2328

Calculated values
For the total energy, the calculation gives -5.622 eV per atom. As for the uncorrected formation energy: -110 kJ per mole of atoms. Its space group is No. 12.